# 1
VASP calculation (GGA-PBEsol) on an optimized crystal structure of CsScGaRh2.

Computed properties:
- Calculated total energy: -19.00 eV/f.u.

a b c (Å): 4.8882 4.8882 5.3185
angles (deg): 90.00 90.00 90.00
With the nearest neighbours (Å) after each atom.
Sites, in units of the cell vectors:
Cs 0.0000 0.0000 0.0000  4 Rh 2.44, 2 Ga 2.66
Sc 0.5000 0.5000 0.5000  4 Ga 3.46, 8 Rh 3.61
Ga 0.0000 0.0000 0.5000  2 Cs 2.66
Rh 0.0000 0.5000 0.0000  2 Cs 2.44
Rh 0.5000 0.0000 0.0000  2 Cs 2.44


# 2
VASP calculation (GGA-PBEsol) on an optimized crystal structure of CsGa2Ru.

Computed properties:
- Calculated total energy: -13.82 eV/f.u.

a b c (Å): 4.9604 4.9604 4.9604
angles (deg): 60.00 60.00 60.00
With the nearest neighbours (Å) after each atom.
Sites, in units of the cell vectors:
Cs 0.0000 0.0000 0.0000  8 Ga 3.04
Ga 0.2500 0.2500 0.2500  4 Ru 3.04, 4 Cs 3.04
Ga 0.7500 0.7500 0.7500  4 Ru 3.04, 4 Cs 3.04
Ru 0.5000 0.5000 0.5000  8 Ga 3.04


# 3
VASP calculation (GGA-PBEsol) on an optimized crystal structure of CsGa3S5.

Computed properties:
- Formation energy without anion corrections: -892 meV per atom

a b c (Å): 10.6720 12.6999 6.8970
angles (deg): 90.00 90.94 90.00
With the nearest neighbours (Å) after each atom.
Sites, in units of the cell vectors:
Cs 0.1385 0.0828 0.3643  9 S 3.56-3.80
Cs 0.1385 0.4172 0.8643  9 S 3.56-3.80
Cs 0.8615 0.5828 0.1357  9 S 3.56-3.80
Cs 0.8615 0.9172 0.6357  9 S 3.56-3.80
Ga 0.1671 0.6998 0.4854  4 S 2.26-2.35
Ga 0.1671 0.8002 0.9854  4 S 2.26-2.35
Ga 0.3700 0.0377 0.8963  4 S 2.22-2.35
Ga 0.3700 0.4623 0.3963  4 S 2.22-2.35
Ga 0.4840 0.7240 0.2646  4 S 2.22-2.31
Ga 0.4840 0.7760 0.7646  4 S 2.22-2.31
Ga 0.5160 0.2240 0.2354  4 S 2.22-2.31
Ga 0.5160 0.2760 0.7354  4 S 2.22-2.31
Ga 0.6300 0.5377 0.6037  4 S 2.22-2.35
Ga 0.6300 0.9623 0.1037  4 S 2.22-2.35
Ga 0.8329 0.1998 0.0146  4 S 2.26-2.35
Ga 0.8329 0.3002 0.5146  4 S 2.26-2.35
S 0.0619 0.6985 0.7675  2 Ga 2.26-2.27
S 0.0619 0.8015 0.2675  2 Ga 2.26-2.27
S 0.1807 0.5338 0.3690  2 Ga 2.22-2.26
S 0.1807 0.9662 0.8690  2 Ga 2.22-2.26
S 0.3348 0.1911 0.7467  2 Ga 2.22-2.23
S 0.3348 0.3089 0.2467  2 Ga 2.22-2.23
S 0.3576 0.7074 0.9957  3 Ga 2.28-2.35
S 0.3576 0.7926 0.4957  3 Ga 2.28-2.35
S 0.4534 0.0505 0.2124  3 Ga 2.31-2.35
S 0.4534 0.4495 0.7124  3 Ga 2.31-2.35
S 0.5466 0.5505 0.2876  3 Ga 2.31-2.35
S 0.5466 0.9495 0.7876  3 Ga 2.31-2.35
S 0.6424 0.2074 0.5043  3 Ga 2.28-2.35
S 0.6424 0.2926 0.0043  3 Ga 2.28-2.35
S 0.6652 0.6911 0.7533  2 Ga 2.22-2.23
S 0.6652 0.8089 0.2533  2 Ga 2.22-2.23
S 0.8193 0.0338 0.1310  2 Ga 2.22-2.26
S 0.8193 0.4662 0.6310  2 Ga 2.22-2.26
S 0.9381 0.1985 0.7325  2 Ga 2.26-2.27
S 0.9381 0.3015 0.2325  2 Ga 2.26-2.27


# 4
VASP calculation (GGA-PBEsol) on an optimized crystal structure of CsGaS3.

Computed properties:
- Formation energy without anion corrections: -859 meV per atom

a b c (Å): 7.5305 12.3486 6.4059
angles (deg): 90.00 108.27 90.00
With the nearest neighbours (Å) after each atom.
Sites, in units of the cell vectors:
Cs 0.2476 0.0838 0.2189  8 S 3.49-3.86
Cs 0.2476 0.4162 0.7189  8 S 3.49-3.86
Cs 0.7524 0.5838 0.2811  8 S 3.49-3.86
Cs 0.7524 0.9162 0.7811  8 S 3.49-3.86
Ga 0.3084 0.7277 0.3523  4 S 2.25-2.30
Ga 0.3084 0.7723 0.8523  4 S 2.25-2.30
Ga 0.6916 0.2277 0.1477  4 S 2.25-2.30
Ga 0.6916 0.2723 0.6477  4 S 2.25-2.30
S 0.0516 0.6730 0.8582  1 S 2.09, 1 Ga 2.30
S 0.0516 0.8270 0.3582  1 S 2.09, 1 Ga 2.30
S 0.1894 0.5812 0.1355  1 S 2.09, 1 Ga 2.29
S 0.1894 0.9188 0.6355  1 S 2.09, 1 Ga 2.29
S 0.4829 0.6730 0.6898  2 Ga 2.25-2.28
S 0.4829 0.8270 0.1898  2 Ga 2.25-2.28
S 0.5171 0.1730 0.8102  2 Ga 2.25-2.28
S 0.5171 0.3270 0.3102  2 Ga 2.25-2.28
S 0.8106 0.0812 0.3645  1 S 2.09, 1 Ga 2.29
S 0.8106 0.4188 0.8645  1 S 2.09, 1 Ga 2.29
S 0.9484 0.1730 0.6418  1 S 2.09, 1 Ga 2.30
S 0.9484 0.3270 0.1418  1 S 2.09, 1 Ga 2.30


# 5
VASP calculation (GGA-PBEsol) on an optimized crystal structure of CsGa2Sb2.

Computed properties:
- Formation energy without anion corrections: -297 meV per atom

a b c (Å): 8.2473 8.2473 8.2473
angles (deg): 147.64 147.64 46.42
With the nearest neighbours (Å) after each atom.
Sites, in units of the cell vectors:
Cs 0.0000 0.0000 0.0000  8 Sb 3.95
Ga 0.2500 0.7500 0.5000  4 Sb 2.77
Ga 0.7500 0.2500 0.5000  4 Sb 2.77
Sb 0.3524 0.3524 0.0000  4 Ga 2.77
Sb 0.6476 0.6476 0.0000  4 Ga 2.77


# 6
VASP calculation (GGA-PBEsol) on an optimized crystal structure of CsGa3Se.

Computed properties:
- Formation energy without anion corrections: 270 meV per atom

a b c (Å): 5.5577 5.5577 5.5577
angles (deg): 90.00 90.00 90.00
With the nearest neighbours (Å) after each atom.
Sites, in units of the cell vectors:
Cs 0.0000 0.0000 0.0000  12 Ga 3.93
Ga 0.0000 0.5000 0.5000  2 Se 2.78
Ga 0.5000 0.0000 0.5000  2 Se 2.78
Ga 0.5000 0.5000 0.0000  2 Se 2.78
Se 0.5000 0.5000 0.5000  6 Ga 2.78